Computed, not measured: an optimized crystal structure of LiThPaRe at the PBE level of DFT.

The crystal system is cubic. For the energy, the calculation gives -7.6448 eV per atom.

The structure belongs to space group F-43m (No. 216); the cell edges are 7.076, 7.076 and 7.076 Å and the angles 90.00°, 90.00° and 90.00°. The asymmetric unit holds Li at (0.000, 0.000, 0.000), Th at (0.250, 0.250, 0.750), Pa at (0.250, 0.250, 0.250) and Re at (0.000, 0.000, 0.500).